1.
VASP calculation (PBE) on crystalline Ce2DyCrN4 at its relaxed geometry.

Computed properties:
The uncorrected formation energy comes out at -1.1303 eV per atom. As for the total magnetization: 1.09 μB/cell.

Cell and atoms, written as CIF:
```
data_Ce2DyCrN4
_chemical_formula_sum 'Ce4 Dy2 Cr2 N8'
_symmetry_space_group_name_H-M 'P 1'
_symmetry_Int_Tables_number 1
_cell_length_a 3.372
_cell_length_b 6.010
_cell_length_c 11.834
_cell_angle_alpha 90.00
_cell_angle_beta 90.00
_cell_angle_gamma 106.29
loop_
_symmetry_equiv_pos_as_xyz
'x,y,z'
loop_
_atom_site_label
_atom_site_type_symbol
_atom_site_fract_x
_atom_site_fract_y
_atom_site_fract_z
N1 N 0.272 0.543 0.363
Ce1 Ce 0.635 0.269 0.452
Ce2 Ce 0.635 0.269 0.048
N2 N 0.564 0.129 0.250
Ce3 Ce 0.365 0.731 0.952
Dy1 Dy 0.883 0.765 0.250
Dy2 Dy 0.117 0.235 0.750
N3 N 0.728 0.457 0.863
N4 N 0.000 0.000 0.500
Ce4 Ce 0.365 0.731 0.548
Cr1 Cr 0.151 0.301 0.250
N5 N 0.000 0.000 0.000
N6 N 0.436 0.871 0.750
N7 N 0.728 0.457 0.637
N8 N 0.272 0.543 0.137
Cr2 Cr 0.849 0.699 0.750
```

=====

2.
VASP calculation (PBE) on crystalline CeDyCrN3 at its relaxed geometry.

Computed properties:
The uncorrected formation energy comes out at -1.1486 eV per atom. As for the total magnetization: 0.00 μB/cell.

Cell and atoms, written as CIF:
```
data_CeDyCrN3
_chemical_formula_sum 'Ce2 Dy2 Cr2 N6'
_symmetry_space_group_name_H-M 'P 1'
_symmetry_Int_Tables_number 1
_cell_length_a 3.414
_cell_length_b 7.250
_cell_length_c 7.400
_cell_angle_alpha 97.89
_cell_angle_beta 90.00
_cell_angle_gamma 90.00
loop_
_symmetry_equiv_pos_as_xyz
'x,y,z'
loop_
_atom_site_label
_atom_site_type_symbol
_atom_site_fract_x
_atom_site_fract_y
_atom_site_fract_z
N1 N 0.250 0.608 0.853
N2 N 0.250 0.837 0.475
Cr1 Cr 0.750 0.919 0.403
Ce1 Ce 0.250 0.169 0.175
N3 N 0.750 0.163 0.525
N4 N 0.750 0.392 0.147
Dy1 Dy 0.250 0.638 0.172
Ce2 Ce 0.750 0.831 0.825
N5 N 0.250 0.121 0.852
N6 N 0.750 0.879 0.148
Cr2 Cr 0.250 0.081 0.597
Dy2 Dy 0.750 0.362 0.828
```

=====

3.
VASP calculation (PBE) on crystalline Ce2DyCr2N6 at its relaxed geometry.

Computed properties:
The uncorrected formation energy comes out at -0.8599 eV per atom. As for the total magnetization: 1.35 μB/cell.

Cell and atoms, written as CIF:
```
data_Ce2DyCr2N6
_chemical_formula_sum 'Ce2 Dy1 Cr2 N6'
_symmetry_space_group_name_H-M 'P 1'
_symmetry_Int_Tables_number 1
_cell_length_a 5.514
_cell_length_b 5.514
_cell_length_c 6.822
_cell_angle_alpha 66.16
_cell_angle_beta 66.16
_cell_angle_gamma 60.00
loop_
_symmetry_equiv_pos_as_xyz
'x,y,z'
loop_
_atom_site_label
_atom_site_type_symbol
_atom_site_fract_x
_atom_site_fract_y
_atom_site_fract_z
Ce1 Ce 0.794 0.794 0.618
Cr1 Cr 0.599 0.599 0.204
N1 N 0.264 0.264 0.705
Dy1 Dy 0.000 0.000 0.000
N2 N 0.232 0.736 0.295
N3 N 0.768 0.264 0.705
N4 N 0.736 0.232 0.295
N5 N 0.736 0.736 0.295
Cr2 Cr 0.401 0.401 0.796
Ce2 Ce 0.206 0.206 0.382
N6 N 0.264 0.768 0.705
```

=====

4.
VASP calculation (PBE) on crystalline Ce2DyCrN5 at its relaxed geometry.

Computed properties:
The uncorrected formation energy comes out at -1.1560 eV per atom. As for the total magnetization: 3.97 μB/cell.

Cell and atoms, written as CIF:
```
data_Ce2DyCrN5
_chemical_formula_sum 'Ce4 Dy2 Cr2 N10'
_symmetry_space_group_name_H-M 'P 1'
_symmetry_Int_Tables_number 1
_cell_length_a 3.401
_cell_length_b 7.125
_cell_length_c 10.462
_cell_angle_alpha 90.00
_cell_angle_beta 90.00
_cell_angle_gamma 103.81
loop_
_symmetry_equiv_pos_as_xyz
'x,y,z'
loop_
_atom_site_label
_atom_site_type_symbol
_atom_site_fract_x
_atom_site_fract_y
_atom_site_fract_z
N1 N 0.712 0.424 0.164
N2 N 0.309 0.618 0.349
Ce1 Ce 0.855 0.710 0.796
Cr1 Cr 0.501 0.003 0.469
N3 N 0.487 0.973 0.800
N4 N 0.630 0.260 0.512
N5 N 0.691 0.382 0.849
Dy1 Dy 0.202 0.403 0.003
N6 N 0.370 0.740 0.012
N7 N 0.031 0.062 0.032
Ce2 Ce 0.121 0.242 0.699
Ce3 Ce 0.879 0.758 0.199
N8 N 0.969 0.938 0.532
Ce4 Ce 0.145 0.290 0.296
Dy2 Dy 0.798 0.597 0.503
N9 N 0.513 0.027 0.300
N10 N 0.288 0.576 0.664
Cr2 Cr 0.499 0.997 0.969
```